Material: Ir2PtBr
Method: DFT, PBE
State: optimized geometry

Cell: 12.7970 2.8525 4.4610 Å, 90.00 96.60 90.00°
Atoms (fractional coordinates):
Ir 0.0000 0.0000 0.0000
Ir 0.1465 0.5000 0.2871
Ir 0.5000 0.5000 0.0000
Ir 0.6465 0.0000 0.2871
Pt 0.1807 0.0000 0.7959
Pt 0.6807 0.5000 0.7959
Br 0.3727 0.0000 0.6591
Br 0.8727 0.5000 0.6591

As for the uncorrected formation energy: 0.68 eV/atom.

***

Material: AlInSn2
Method: DFT, PBE
State: optimized geometry

Cell: 5.8144 5.8144 15.2381 Å, 90.00 90.00 90.00°
Atoms (fractional coordinates):
Al 0.0000 0.0000 0.0000
Al 0.0000 0.5000 0.2500
Al 0.5000 0.0000 0.7500
Al 0.5000 0.5000 0.5000
In 0.0000 0.0000 0.5000
In 0.0000 0.5000 0.7500
In 0.5000 0.0000 0.2500
In 0.5000 0.5000 0.0000
Sn 0.2190 0.2500 0.1250
Sn 0.2500 0.7190 0.3750
Sn 0.2500 0.7810 0.8750
Sn 0.2810 0.2500 0.6250
Sn 0.7190 0.7500 0.6250
Sn 0.7500 0.2190 0.8750
Sn 0.7500 0.2810 0.3750
Sn 0.7810 0.7500 0.1250

For the energy relative to the elements, the calculation gives 226 meV per atom.

***

Material: BaOs2RuW
Method: DFT, PBE
State: optimized geometry

Cell: 4.8634 4.8634 4.8078 Å, 90.00 90.00 90.00°
Atoms (fractional coordinates):
Ba 0.0000 0.0000 0.0000
Os 0.0000 0.5000 0.5000
Os 0.5000 0.0000 0.5000
Ru 0.5000 0.5000 0.5000
W 0.5000 0.5000 0.0000

For the energy relative to the elements, the calculation gives 1632 meV per atom.

***

Material: Pm2TmPd2
Method: DFT, PBE
State: optimized geometry

Cell: 6.7995 6.7995 11.3728 Å, 117.70 117.70 33.83°
Atoms (fractional coordinates):
Pm 0.0464 0.0464 0.1966
Pm 0.1706 0.1706 0.5775
Pm 0.8294 0.8294 0.4225
Pm 0.9536 0.9536 0.8034
Tm 0.2962 0.2962 0.1420
Tm 0.7038 0.7038 0.8580
Pd 0.3762 0.3762 0.9467
Pd 0.4853 0.4853 0.6195
Pd 0.5147 0.5147 0.3805
Pd 0.6238 0.6238 0.0533

For the energy relative to the elements, the calculation gives -696 meV per atom.

***

Result set for distance to the lowest polymorph of the same formula: 69.1, 51.0, 0.0, 0.0 kJ/mol of formula units, one per record in the order listed.
Result set for raw total energy: -45.42, -54.32, -38.45, -55.68 eV/cell, one per record in the order listed.